{"formula": "Mg2TcMoO", "functional": "GGA+U", "state": "relaxed", "total_energy_ev_per_atom": -4.309, "spacegroup": "P4/mmm", "crystal_system": "tetragonal", "n_ef_per_ev_atom": 0.796, "lattice_angstrom": [[5.4207, 0.0000, 0.0000], [0.0000, 3.7267, 0.0000], [0.0000, 0.0000, 5.4207]], "species": ["Mg", "Mg", "Mo", "Tc", "O"], "fractional_positions": [[0.0000, 0.0000, 0.5000], [0.5000, 0.0000, 0.0000], [0.0000, 0.0000, 0.0000], [0.5000, 0.5000, 0.5000], [0.0000, 0.5000, 0.0000]]}